No. 1
{
  "formula": "LiInSi2",
  "functional": "GGA-PBE",
  "state": "relaxed",
  "cell": [[3.349, 0.000, 0.000], [0.000, 3.419, 0.000], [0.000, 0.000, 6.532]],
  "species": ["Li", "In", "Si", "Si"],
  "fractional_positions": [[0.000, 0.000, 0.000], [0.500, 0.500, 0.706], [0.000, 0.000, 0.402], [0.500, 0.500, 0.270]],
  "dos_at_fermi_per_ev_atom": 0.304,
  "total_energy_ev_per_atom": -3.74,
  "space_group": "Pmm2, No. 25"
}


No. 2
{
  "formula": "LiInSi",
  "functional": "GGA-PBE",
  "state": "relaxed",
  "cell": [[-1.627, 2.002, 4.371], [1.627, -2.002, 4.371], [1.627, 2.002, -4.371]],
  "species": ["Li", "In", "Si"],
  "fractional_positions": [[0.000, 0.000, 0.000], [0.322, 0.322, 0.000], [0.662, 0.662, 0.000]],
  "dos_at_fermi_per_ev_atom": 0.260,
  "total_energy_ev_per_atom": -3.29,
  "space_group": "Imm2, No. 44"
}


No. 3
{
  "formula": "LiIn2Si",
  "functional": "GGA-PBE",
  "state": "relaxed",
  "cell": [[4.731, -1.631, 0.000], [4.731, 1.631, 0.000], [-1.091, 0.000, 5.436]],
  "species": ["Li", "In", "In", "Si"],
  "fractional_positions": [[0.000, 0.000, 0.000], [0.523, 0.523, 0.547], [0.756, 0.756, 0.245], [0.263, 0.263, 0.803]],
  "dos_at_fermi_per_ev_atom": 0.264,
  "total_energy_ev_per_atom": -3.13,
  "space_group": "Cm, No. 8"
}


No. 4
{
  "formula": "LiIn2Si",
  "functional": "GGA-PBE",
  "state": "relaxed",
  "cell": [[4.489, 0.000, 0.000], [0.000, 4.489, 0.000], [0.000, 0.000, 4.097]],
  "species": ["Li", "In", "In", "Si"],
  "fractional_positions": [[0.000, 0.000, 0.000], [0.000, 0.500, 0.500], [0.500, 0.000, 0.500], [0.500, 0.500, 0.000]],
  "dos_at_fermi_per_ev_atom": 0.302,
  "total_energy_ev_per_atom": -3.15,
  "space_group": "P4/mmm, No. 123"
}


No. 5
{
  "formula": "LiInSi2",
  "functional": "GGA-PBE",
  "state": "relaxed",
  "cell": [[2.750, 0.000, 0.000], [0.000, 2.750, 0.000], [0.000, 0.000, 9.691]],
  "species": ["Li", "In", "Si", "Si"],
  "fractional_positions": [[0.000, 0.000, 0.000], [0.000, 0.000, 0.500], [0.500, 0.500, 0.207], [0.500, 0.500, 0.793]],
  "dos_at_fermi_per_ev_atom": 0.461,
  "total_energy_ev_per_atom": -3.59,
  "space_group": "P4/mmm, No. 123"
}


No. 6
{
  "formula": "LiIn2SiSn",
  "functional": "GGA-PBE",
  "state": "relaxed",
  "cell": [[5.351, 0.000, 0.000], [0.000, 5.351, 0.000], [0.000, 0.000, 4.915]],
  "species": ["Li", "In", "In", "Si", "Sn"],
  "fractional_positions": [[0.000, 0.000, 0.000], [0.000, 0.500, 0.500], [0.500, 0.000, 0.500], [0.000, 0.000, 0.500], [0.500, 0.500, 0.000]],
  "dos_at_fermi_per_ev_atom": 0.633,
  "total_energy_ev_per_atom": -3.10,
  "space_group": "P4/mmm, No. 123"
}


No. 7
{
  "formula": "LiIn2SiTc",
  "functional": "GGA-PBE",
  "state": "relaxed",
  "cell": [[4.790, 0.000, 0.000], [0.000, 4.790, 0.000], [0.000, 0.000, 4.351]],
  "species": ["Li", "In", "In", "Si", "Tc"],
  "fractional_positions": [[0.000, 0.000, 0.000], [0.000, 0.500, 0.000], [0.500, 0.000, 0.000], [0.000, 0.000, 0.500], [0.500, 0.500, 0.500]],
  "dos_at_fermi_per_ev_atom": 0.618,
  "total_energy_ev_per_atom": -3.68,
  "space_group": "P4/mmm, No. 123"
}


No. 8
{
  "formula": "LiInSi2Te",
  "functional": "GGA-PBE",
  "state": "relaxed",
  "cell": [[5.215, 0.000, 0.000], [0.000, 5.215, 0.000], [0.000, 0.000, 6.168]],
  "species": ["Li", "In", "Si", "Si", "Te"],
  "fractional_positions": [[0.000, 0.000, 0.000], [0.500, 0.500, 0.000], [0.000, 0.500, 0.500], [0.500, 0.000, 0.500], [0.500, 0.500, 0.500]],
  "dos_at_fermi_per_ev_atom": 0.634,
  "total_energy_ev_per_atom": -2.81,
  "space_group": "P4/mmm, No. 123"
}